A plane-wave DFT calculation with PBE was carried out for crystalline ZnRuAu2 at its relaxed geometry.

The structure in POSCAR format:
```
ZnRuAu2
1.0
2.7897 0.0109 0.0000
-1.2338 2.5020 0.0000
0.0000 0.0000 9.3182
Ru Au Zn
1 2 1
direct
0.0000 0.0000 0.5166 Ru
0.5000 0.5000 0.2593 Au
0.0000 0.0000 0.9840 Au
0.5000 0.5000 0.7401 Zn
```

**Final energy**: -4.114 eV per atom


A plane-wave DFT calculation with PBE was carried out for crystalline ZnRuAu at its relaxed geometry.

The structure in POSCAR format:
```
ZnRuAu
1.0
4.1801 0.0000 0.0000
2.0900 3.6201 0.0000
2.0900 1.2067 3.4130
Zn Au Ru
1 1 1
direct
0.7500 0.7500 0.7500 Zn
0.0000 0.0000 0.0000 Au
0.5000 0.5000 0.5000 Ru
```

**Relative energy among the computed polymorphs**: 1.692 eV/f.u.


A plane-wave DFT calculation with PBE was carried out for crystalline ZnRuAu2 at its relaxed geometry.

The structure in POSCAR format:
```
ZnRuAu2
1.0
4.8738 0.0001 0.0198
4.0545 2.7046 0.0198
0.9538 0.2889 4.8972
Au Ru Zn
2 1 1
direct
0.9924 0.9924 0.0079 Au
0.7545 0.7545 0.7383 Au
0.5077 0.5077 0.4899 Ru
0.2454 0.2454 0.2638 Zn
```

**Final energy**: -4.122 eV per atom


A plane-wave DFT calculation with PBE was carried out for crystalline Zn2RuAu at its relaxed geometry.

The structure in POSCAR format:
```
Zn2RuAu
1.0
2.8103 0.0000 0.0000
0.0000 2.8103 0.0000
0.0000 0.0000 7.7854
Au Zn Ru
1 2 1
direct
0.0000 0.0000 0.4971 Au
0.0000 0.0000 0.9954 Zn
0.5000 0.5000 0.2426 Zn
0.5000 0.5000 0.7649 Ru
```

**Final energy**: -3.645 eV per atom


| no. | size of the total moment (μB per cell) |
| --- | --- |
| 1 | 0.7 |
| 2 | 0.2 |
| 3 | 0.5 |
| 4 | 1.3 |